(1)
First-principles (PBE) data for an optimized crystal structure of Er4SnPb, as listed in Alexandria via LeMat-Bulk.

a b c (Å): 8.2660 8.2660 6.2895
angles (deg): 104.30 104.30 113.90
Last column: nearest neighbours and their distance in Å.
Fractional positions:
Er  0.0793  0.6939  0.9217  2 Sn 3.19-3.31, 2 Pb 3.23, 2 Er 3.39-3.43
Er  0.2255  0.3871  0.6930  2 Pb 3.12-3.14, 2 Sn 3.17-3.22, 2 Er 3.23-3.39
Er  0.3061  0.9207  0.5783  2 Sn 3.19-3.31, 2 Pb 3.23, 2 Er 3.39-3.43
Er  0.3871  0.2255  0.1930  2 Pb 3.12-3.14, 2 Sn 3.17-3.22, 2 Er 3.23-3.39
Er  0.6129  0.7745  0.8070  2 Pb 3.12-3.14, 2 Sn 3.17-3.22, 2 Er 3.23-3.39
Er  0.6939  0.0793  0.4217  2 Sn 3.19-3.31, 2 Pb 3.23, 2 Er 3.39-3.43
Er  0.7745  0.6129  0.3070  2 Pb 3.12-3.14, 2 Sn 3.17-3.22, 2 Er 3.23-3.39
Er  0.9207  0.3061  0.0783  2 Sn 3.19-3.31, 2 Pb 3.23, 2 Er 3.39-3.43
Sn  0.3802  0.6198  0.2500  8 Er 3.17-3.31
Sn  0.6198  0.3802  0.7500  8 Er 3.17-3.31
Pb  0.0013  0.9987  0.2500  8 Er 3.12-3.23, 2 Pb 3.14
Pb  0.9987  0.0013  0.7500  8 Er 3.12-3.23, 2 Pb 3.14

Total magnetic moment (μB/f.u.): 0.0
Volume (A^3/atom): 29.2
Raw total energy (eV per cell): -56.2
SG: No. 15

***

(2)
First-principles (PBE) data for an optimized crystal structure of CrFeP2, as listed in Alexandria via LeMat-Bulk.

a b c (Å): 4.0920 4.0920 4.0920
angles (deg): 60.00 60.00 60.00
Last column: nearest neighbours and their distance in Å.
Fractional positions:
Cr  0.0000  0.0000  0.0000  4 Fe 2.51, 4 P 2.51
Fe  0.7500  0.7500  0.7500  4 Cr 2.51, 4 P 2.51
P  0.2500  0.2500  0.2500  4 Cr 2.51, 4 P 2.51
P  0.5000  0.5000  0.5000  4 Fe 2.51, 4 P 2.51

Total magnetic moment (μB/f.u.): 3.2
Volume (A^3/atom): 12.1
Raw total energy (eV per cell): -27.7
SG: No. 216

***

(3)
First-principles (PBE) data for an optimized crystal structure of LiNdPb2, as listed in Alexandria via LeMat-Bulk.

a b c (Å): 4.8664 4.8664 4.5671
angles (deg): 90.00 90.00 90.00
Last column: nearest neighbours and their distance in Å.
Fractional positions:
Li  0.0000  0.0000  0.0000  8 Pb 3.34, 4 Nd 3.44
Nd  0.5000  0.5000  0.0000  8 Pb 3.34, 4 Li 3.44
Pb  0.0000  0.5000  0.5000  4 Li 3.34, 4 Nd 3.34, 4 Pb 3.44
Pb  0.5000  0.0000  0.5000  4 Li 3.34, 4 Nd 3.34, 4 Pb 3.44

Total magnetic moment (μB/f.u.): 0.0
Volume (A^3/atom): 27.0
Raw total energy (eV per cell): -15.9
SG: No. 123

***

(4)
First-principles (PBE) data for an optimized crystal structure of ReAg3W, as listed in Alexandria via LeMat-Bulk.

a b c (Å): 5.0190 5.0190 5.0190
angles (deg): 90.00 90.00 90.00
Last column: nearest neighbours and their distance in Å.
Fractional positions:
Re  0.0000  0.0000  0.0000  12 Ag 3.55
Ag  0.0000  0.5000  0.5000  2 W 2.51
Ag  0.5000  0.0000  0.5000  2 W 2.51
Ag  0.5000  0.5000  0.0000  2 W 2.51
W  0.5000  0.5000  0.5000  6 Ag 2.51

Total magnetic moment (μB/f.u.): 3.6
Volume (A^3/atom): 25.3
Raw total energy (eV per cell): -20.8
SG: No. 221

***

(5)
First-principles (PBE) data for an optimized crystal structure of PmGa11Co, as listed in Alexandria via LeMat-Bulk.

a b c (Å): 6.6914 6.6914 7.5543
angles (deg): 95.42 95.42 134.07
Last column: nearest neighbours and their distance in Å.
Fractional positions:
Pm  0.0000  0.0000  0.0000  16 Ga 3.23-3.57
Ga  0.0000  0.0000  0.5000  2 Co 2.61, 8 Ga 2.69-2.77
Ga  0.0000  0.5000  0.0000  6 Ga 2.61-2.90
Ga  0.0486  0.3897  0.3703  1 Co 2.61, 3 Ga 2.68-2.73
Ga  0.2681  0.4816  0.7647  1 Co 2.61, 5 Ga 2.63-2.90
Ga  0.3897  0.0486  0.3703  1 Co 2.61, 3 Ga 2.68-2.73
Ga  0.4816  0.2681  0.7647  1 Co 2.61, 5 Ga 2.63-2.90
Ga  0.5000  0.0000  0.0000  6 Ga 2.61-2.90
Ga  0.5184  0.7319  0.2353  1 Co 2.61, 5 Ga 2.63-2.90
Ga  0.6103  0.9514  0.6297  1 Co 2.61, 3 Ga 2.68-2.73
Ga  0.7319  0.5184  0.2353  1 Co 2.61, 5 Ga 2.63-2.90
Ga  0.9514  0.6103  0.6297  1 Co 2.61, 3 Ga 2.68-2.73
Co  0.5000  0.5000  0.5000  10 Ga 2.61

Total magnetic moment (μB/f.u.): 0.0
Volume (A^3/atom): 18.1
Raw total energy (eV per cell): -47.2
SG: No. 12

***

(6)
First-principles (PBE) data for an optimized crystal structure of Ac4GaPt3, as listed in Alexandria via LeMat-Bulk.

a b c (Å): 4.1958 4.6614 11.7868
angles (deg): 90.00 90.00 90.00
Last column: nearest neighbours and their distance in Å.
Fractional positions:
Ac  0.0000  0.0000  0.0000  6 Pt 3.17-3.32
Ac  0.0000  0.5000  0.2617  7 Pt 3.18-3.43
Ac  0.5000  0.0000  0.4844  5 Pt 3.13-3.24, 2 Ga 3.27
Ac  0.5000  0.5000  0.7677  3 Pt 3.18-3.29, 4 Ga 3.24
Ga  0.0000  0.0000  0.6976  2 Pt 2.89
Pt  0.0000  0.5000  0.5528  2 Ga 2.89
Pt  0.5000  0.0000  0.2188  7 Ac 3.13-3.32, 2 Pt 3.16
Pt  0.5000  0.5000  0.0378  2 Pt 3.16, 7 Ac 3.17-3.37

Total magnetic moment (μB/f.u.): 0.0
Volume (A^3/atom): 28.8
Raw total energy (eV per cell): -45.4
SG: No. 25